# 1
DFT (PBE-GGA) results for a geometry-optimized InGaS3 structure.

a = 13.0714 Å, b = 3.7100 Å, c = 10.6333 Å
α = 90.00°, β = 94.24°, γ = 90.00°
With the nearest neighbours (Å) after each atom.
Space group C2/m (No. 12)
Inequivalent atoms, fractional coordinates:
In: 0.1543 0.0000 0.3934 x4  5 S 2.53-2.69
Ga: 0.0805 0.5000 0.7881 x4  4 S 2.24-2.49
S: 0.0983 0.5000 0.2417 x4  1 Ga 2.34, 2 In 2.53
S: 0.1428 0.0000 0.8843 x4  2 Ga 2.24
S: 0.1481 0.5000 0.5757 x4  1 Ga 2.49, 3 In 2.58-2.69

Output
Crystal system: monoclinic
Raw formation energy: -52 kJ/mol of atoms
ρ: 3.6 g/cm3

=====

# 2
DFT (PBE-GGA) results for a geometry-optimized InGa4S7 structure.

a = 15.2284 Å, b = 6.4469 Å, c = 6.1175 Å
α = 90.00°, β = 90.00°, γ = 90.00°
With the nearest neighbours (Å) after each atom.
Space group Pmn2_1 (No. 31)
Inequivalent atoms, fractional coordinates:
In: 0.0000 0.0705 0.0000 x2  3 S 2.64-2.68
Ga: 0.1243 0.3440 0.5142 x4  4 S 2.24-2.35
Ga: 0.2436 0.8212 0.5058 x4  4 S 2.23-2.36
S: 0.0000 0.1504 0.4303 x2  2 Ga 2.33
S: 0.1196 0.6714 0.3938 x4  2 Ga 2.23-2.24
S: 0.1266 0.3314 0.8960 x4  2 Ga 2.31-2.34
S: 0.2497 0.1672 0.3919 x4  3 Ga 2.34-2.36

Output
Crystal system: orthorhombic
Raw formation energy: -56 kJ/mol of atoms
DOS(E_F): 1.70 states/eV/f.u.
ρ: 3.4 g/cm3

=====

# 3
DFT (PBE-GGA) results for a geometry-optimized InGaS3 structure.

a = 6.8449 Å, b = 6.8449 Å, c = 18.2501 Å
α = 90.00°, β = 90.00°, γ = 120.00°
With the nearest neighbours (Å) after each atom.
Space group P6_1 (No. 169)
Inequivalent atoms, fractional coordinates:
In: 0.0005 0.3311 0.0000 x6  5 S 2.53-2.71
Ga: 0.0175 0.3342 0.6386 x6  4 S 2.27-2.34
S: 0.0004 0.2939 0.5111 x6  2 Ga 2.32-2.34, 1 In 2.58
S: 0.0299 0.6581 0.3523 x6  1 Ga 2.27, 1 In 2.53
S: 0.0377 0.3636 0.1480 x6  1 Ga 2.29, 1 In 2.53

Output
Crystal system: hexagonal
Raw formation energy: -61 kJ/mol of atoms
DOS(E_F): 0.00 states/eV/f.u.
ρ: 3.8 g/cm3

=====

# 4
DFT (PBE-GGA) results for a geometry-optimized InGa3S structure.

a = 5.2226 Å, b = 5.2226 Å, c = 5.2226 Å
α = 90.00°, β = 90.00°, γ = 90.00°
With the nearest neighbours (Å) after each atom.
Space group Pm-3m (No. 221)
Inequivalent atoms, fractional coordinates:
In: 0.0000 0.0000 0.0000 x1  6 Ga 2.61
Ga: 0.0000 0.0000 0.5000 x3  2 In 2.61
S: 0.5000 0.5000 0.5000 x1  12 Ga 3.69

Output
Crystal system: cubic
Raw formation energy: 48 kJ/mol of atoms
DOS(E_F): 1.60 states/eV/f.u.
ρ: 4.2 g/cm3
Polymorph energy (0 for the lowest one): 0.2276 eV/atom

=====

# 5
DFT (PBE-GGA) results for a geometry-optimized InGaS structure.

a = 3.8203 Å, b = 3.8203 Å, c = 5.4689 Å
α = 90.00°, β = 90.00°, γ = 120.00°
With the nearest neighbours (Å) after each atom.
Space group P3m1 (No. 156)
Inequivalent atoms, fractional coordinates:
In: 0.0000 0.0000 0.0000 x1  3 S 2.92, 3 Ga 3.09
Ga: 0.6667 0.3333 0.3962 x1  3 S 2.61
S: 0.3333 0.6667 0.6514 x1  3 Ga 2.61, 3 In 2.92

Output
Crystal system: trigonal
Raw formation energy: -25 kJ/mol of atoms
DOS(E_F): 0.96 states/eV/f.u.
ρ: 5.2 g/cm3
Polymorph energy (0 for the lowest one): 0.0000 eV/atom

=====

# 6
DFT (PBE-GGA) results for a geometry-optimized InGaSeS structure.

a = 3.8571 Å, b = 3.8571 Å, c = 8.8666 Å
α = 90.00°, β = 90.00°, γ = 120.00°
With the nearest neighbours (Å) after each atom.
Space group P3m1 (No. 156)
Inequivalent atoms, fractional coordinates:
In: 0.0000 0.0000 0.0000 x1  3 Se 2.63, 1 Ga 2.65
Ga: 0.0000 0.0000 0.2986 x1  3 S 2.44, 1 In 2.65
Se: 0.6667 0.3333 0.8428 x1  3 In 2.63
S: 0.3333 0.6667 0.4099 x1  3 Ga 2.44

Output
Crystal system: trigonal
Raw formation energy: -50 kJ/mol of atoms
ρ: 4.3 g/cm3

=====

# 7
DFT (PBE-GGA) results for a geometry-optimized SmInGa2S6 structure.

a = 13.0650 Å, b = 11.1162 Å, c = 7.1549 Å
α = 90.00°, β = 112.38°, γ = 90.00°
With the nearest neighbours (Å) after each atom.
Space group C2/c (No. 15)
Inequivalent atoms, fractional coordinates:
Sm: 0.0000 0.1504 0.2500 x4  6 S 2.79-3.01
In: 0.0000 0.2117 0.7500 x4  4 S 2.45-2.58
Ga: 0.1890 0.4402 0.2157 x8  4 S 2.27-2.37
S: 0.1151 0.0578 0.6431 x8  1 Ga 2.37, 1 In 2.58
S: 0.1303 0.4130 0.4775 x8  2 Ga 2.27-2.30
S: 0.1430 0.2489 0.0844 x8  1 Ga 2.31, 1 In 2.45

Output
Crystal system: monoclinic
Raw formation energy: -86 kJ/mol of atoms
DOS(E_F): 0.00 states/eV/f.u.
ρ: 4.1 g/cm3

=====

# 8
DFT (PBE-GGA) results for a geometry-optimized InGaSnS2 structure.

a = 5.1927 Å, b = 5.1927 Å, c = 5.5250 Å
α = 90.00°, β = 90.00°, γ = 90.00°
With the nearest neighbours (Å) after each atom.
Space group P4/mmm (No. 123)
Inequivalent atoms, fractional coordinates:
In: 0.0000 0.0000 0.0000 x1  2 Sn 2.76
Ga: 0.5000 0.5000 0.0000 x1  4 In 3.67, 8 S 3.79
Sn: 0.0000 0.0000 0.5000 x1  4 S 2.60, 2 In 2.76
S: 0.0000 0.5000 0.5000 x2  2 Sn 2.60

Output
Crystal system: tetragonal
Raw formation energy: 26 kJ/mol of atoms
DOS(E_F): 1.67 states/eV/f.u.
ρ: 4.1 g/cm3

=====

# 9
DFT (PBE-GGA) results for a geometry-optimized InGaSn2S5 structure.

a = 3.8012 Å, b = 17.6446 Å, c = 12.9320 Å
α = 90.00°, β = 90.00°, γ = 90.00°
With the nearest neighbours (Å) after each atom.
Space group Cmc2_1 (No. 36)
Inequivalent atoms, fractional coordinates:
In: 0.0000 0.1946 0.0000 x4  6 S 2.62-2.76
Ga: 0.0000 0.4513 0.4011 x4  4 S 2.26-2.34
Sn: 0.0000 0.1284 0.2999 x4  2 S 2.71
Sn: 0.0000 0.1432 0.6410 x4  3 S 2.68-2.70
S: 0.0000 0.0380 0.0062 x4  2 Ga 2.34
S: 0.0000 0.2962 0.6453 x4  2 In 2.68, 1 Sn 2.70
S: 0.0000 0.3227 0.3601 x4  1 Ga 2.33
S: 0.0000 0.3432 0.9964 x4  1 In 2.62, 2 Sn 2.68
S: 0.0000 0.4766 0.7570 x4  1 Ga 2.26

Output
Crystal system: orthorhombic
Raw formation energy: -51 kJ/mol of atoms
ρ: 4.5 g/cm3

=====

# 10
DFT (PBE-GGA) results for a geometry-optimized Sr2InGaS structure.

a = 6.2534 Å, b = 6.2534 Å, c = 4.8161 Å
α = 90.00°, β = 90.00°, γ = 90.00°
With the nearest neighbours (Å) after each atom.
Space group P4/mmm (No. 123)
Inequivalent atoms, fractional coordinates:
Sr: 0.0000 0.5000 0.0000 x2  2 In 3.13
In: 0.0000 0.0000 0.0000 x1  2 Ga 2.41
Ga: 0.0000 0.0000 0.5000 x1  2 In 2.41
S: 0.5000 0.5000 0.5000 x1  8 Sr 3.95

Output
Crystal system: tetragonal
Raw formation energy: -17 kJ/mol of atoms
DOS(E_F): 1.43 states/eV/f.u.
ρ: 3.5 g/cm3

=====

# 11
DFT (PBE-GGA) results for a geometry-optimized Sr2InGaS5 structure.

a = 3.8827 Å, b = 18.3338 Å, c = 12.0791 Å
α = 90.00°, β = 90.00°, γ = 90.00°
With the nearest neighbours (Å) after each atom.
Space group Cmc2_1 (No. 36)
Inequivalent atoms, fractional coordinates:
Sr: 0.0000 0.1130 0.0000 x4  6 S 2.99-3.28
Sr: 0.0000 0.1199 0.6279 x4  6 S 3.00-3.08
In: 0.0000 0.2211 0.3487 x4  5 S 2.51-2.70
Ga: 0.0000 0.4395 0.7662 x4  4 S 2.25-2.35
S: 0.0000 0.0451 0.3727 x4  2 Ga 2.35
S: 0.0000 0.2838 0.9951 x4  2 In 2.63
S: 0.0000 0.3182 0.7055 x4  1 Ga 2.34
S: 0.0000 0.3563 0.3177 x4  1 In 2.51
S: 0.0000 0.4964 0.6011 x4  1 Ga 2.25

Output
Crystal system: orthorhombic
Raw formation energy: -127 kJ/mol of atoms
DOS(E_F): 0.00 states/eV/f.u.
ρ: 4.0 g/cm3

=====

# 12
DFT (PBE-GGA) results for a geometry-optimized TbInGa2S6 structure.

a = 12.3473 Å, b = 11.7500 Å, c = 6.5982 Å
α = 90.00°, β = 101.82°, γ = 90.00°
With the nearest neighbours (Å) after each atom.
Space group C2/c (No. 15)
Inequivalent atoms, fractional coordinates:
Tb: 0.0000 0.0988 0.2500 x4  6 S 2.72-2.82
In: 0.0000 0.2844 0.7500 x4  6 S 2.55-2.84
Ga: 0.1893 0.4152 0.2864 x8  4 S 2.28-2.34
S: 0.1175 0.0921 0.6496 x8  1 Ga 2.34
S: 0.1272 0.2555 0.1031 x8  1 Ga 2.28, 1 In 2.55
S: 0.1415 0.4191 0.6090 x8  2 Ga 2.29-2.32

Output
Crystal system: monoclinic
Raw formation energy: -90 kJ/mol of atoms
ρ: 4.3 g/cm3

=====

# 13
DFT (PBE-GGA) results for a geometry-optimized TlInGaS3 structure.

a = 8.5788 Å, b = 4.0778 Å, c = 9.7057 Å
α = 90.00°, β = 105.89°, γ = 90.00°
With the nearest neighbours (Å) after each atom.
Space group P2_1/m (No. 11)
Inequivalent atoms, fractional coordinates:
Tl: 0.2157 0.2500 0.2183 x2  5 S 3.08-3.39
In: 0.3428 0.7500 0.8783 x2  5 S 2.61-2.81
Ga: 0.0827 0.2500 0.6202 x2  4 S 2.27-2.40
S: 0.1130 0.2500 0.8601 x2  1 Ga 2.27
S: 0.1825 0.7500 0.5457 x2  3 Ga 2.40
S: 0.4568 0.7500 0.1563 x2  3 In 2.61-2.75

Output
Crystal system: monoclinic
Raw formation energy: -42 kJ/mol of atoms
DOS(E_F): 2.15 states/eV/f.u.
ρ: 4.9 g/cm3

=====

# 14
DFT (PBE-GGA) results for a geometry-optimized TlInGaS4 structure.

a = 6.5492 Å, b = 6.2561 Å, c = 9.5590 Å
α = 90.00°, β = 103.81°, γ = 90.00°
With the nearest neighbours (Å) after each atom.
Space group P2_1/m (No. 11)
Inequivalent atoms, fractional coordinates:
Tl: 0.2183 0.2500 0.0501 x2  7 S 3.33-3.59, 1 In 3.71
In: 0.2870 0.2500 0.6757 x2  4 S 2.49-2.51
Ga: 0.2143 0.7500 0.3079 x2  4 S 2.29-2.34
S: 0.0268 0.5213 0.7139 x4  1 Ga 2.29, 1 In 2.49
S: 0.3853 0.7500 0.1240 x2  1 Ga 2.30, 1 In 2.51
S: 0.4990 0.7500 0.5099 x2  1 Ga 2.34, 1 In 2.51

Output
Crystal system: monoclinic
Raw formation energy: -37 kJ/mol of atoms
DOS(E_F): 1.71 states/eV/f.u.
ρ: 4.5 g/cm3

=====

# 15
DFT (PBE-GGA) results for a geometry-optimized TmIn2GaS6 structure.

a = 12.1260 Å, b = 13.2160 Å, c = 6.7546 Å
α = 90.00°, β = 111.43°, γ = 90.00°
With the nearest neighbours (Å) after each atom.
Space group C2/c (No. 15)
Inequivalent atoms, fractional coordinates:
Tm: 0.0000 0.0932 0.2500 x4  6 S 2.71-2.78
In: 0.1188 0.4114 0.1534 x8  4 S 2.48-2.69
Ga: 0.0000 0.1704 0.7500 x4  4 S 2.29-2.34
S: 0.1191 0.4122 0.5263 x8  3 In 2.48-2.69
S: 0.1207 0.2256 0.0801 x8  1 Ga 2.29, 1 In 2.51
S: 0.1292 0.0623 0.6670 x8  1 Ga 2.34

Output
Crystal system: monoclinic
Raw formation energy: -86 kJ/mol of atoms
DOS(E_F): 0.00 states/eV/f.u.
ρ: 4.4 g/cm3

=====

# 16
DFT (PBE-GGA) results for a geometry-optimized VInGaS2 structure.

a = 4.5581 Å, b = 4.5581 Å, c = 5.9552 Å
α = 90.00°, β = 90.00°, γ = 90.00°
With the nearest neighbours (Å) after each atom.
Space group P4/mmm (No. 123)
Inequivalent atoms, fractional coordinates:
V: 0.0000 0.0000 0.0000 x1  4 S 2.28
In: 0.0000 0.0000 0.5000 x1  2 V 2.98, 4 Ga 3.22
Ga: 0.5000 0.5000 0.5000 x1  4 In 3.22
S: 0.0000 0.5000 0.0000 x2  2 V 2.28

Output
Crystal system: tetragonal
Raw formation energy: -5 kJ/mol of atoms
DOS(E_F): 4.21 states/eV/f.u.
ρ: 4.0 g/cm3

=====

# 17
DFT (PBE-GGA) results for a geometry-optimized InGaW2S structure.

a = 5.2176 Å, b = 5.2176 Å, c = 5.0090 Å
α = 90.00°, β = 90.00°, γ = 90.00°
With the nearest neighbours (Å) after each atom.
Space group P4/mmm (No. 123)
Inequivalent atoms, fractional coordinates:
In: 0.0000 0.0000 0.0000 x1  2 S 2.50, 4 W 2.61
Ga: 0.5000 0.5000 0.5000 x1  8 W 3.62, 4 S 3.69
W: 0.0000 0.5000 0.0000 x2  2 In 2.61
S: 0.0000 0.0000 0.5000 x1  2 In 2.50

Output
Crystal system: tetragonal
Raw formation energy: 239 kJ/mol of atoms
DOS(E_F): 7.98 states/eV/f.u.
ρ: 7.1 g/cm3

=====

# 18
DFT (PBE-GGA) results for a geometry-optimized YIn2GaS6 structure.

a = 12.1247 Å, b = 13.2847 Å, c = 6.8420 Å
α = 90.00°, β = 111.74°, γ = 90.00°
With the nearest neighbours (Å) after each atom.
Space group C2/c (No. 15)
Inequivalent atoms, fractional coordinates:
Y: 0.0000 0.0952 0.2500 x4  6 S 2.75-2.82
In: 0.1188 0.4122 0.1524 x8  4 S 2.49-2.69
Ga: 0.0000 0.1716 0.7500 x4  4 S 2.29-2.34
S: 0.1198 0.4134 0.5213 x8  3 In 2.49-2.69
S: 0.1208 0.2278 0.0762 x8  1 Ga 2.29, 1 In 2.51
S: 0.1297 0.0638 0.6702 x8  1 Ga 2.34

Output
Crystal system: monoclinic
Raw formation energy: -87 kJ/mol of atoms
DOS(E_F): 0.00 states/eV/f.u.
ρ: 3.8 g/cm3

=====

# 19
DFT (PBE-GGA) results for a geometry-optimized YInGa2S6 structure.

a = 12.3418 Å, b = 11.7153 Å, c = 6.5956 Å
α = 90.00°, β = 101.85°, γ = 90.00°
With the nearest neighbours (Å) after each atom.
Space group C2/c (No. 15)
Inequivalent atoms, fractional coordinates:
Y: 0.0000 0.0980 0.2500 x4  6 S 2.72-2.81
In: 0.0000 0.2839 0.7500 x4  6 S 2.55-2.83
Ga: 0.1891 0.4148 0.2870 x8  4 S 2.28-2.34
S: 0.1174 0.0920 0.6482 x8  1 Ga 2.34
S: 0.1272 0.2545 0.1037 x8  1 Ga 2.28
S: 0.1410 0.4192 0.6092 x8  2 Ga 2.29-2.32

Output
Crystal system: monoclinic
Raw formation energy: -91 kJ/mol of atoms
ρ: 3.8 g/cm3